This record from Alexandria via LeMat-Bulk describes an optimized crystal structure of CrCu. The functional is PBE.

extended XYZ file:
```
16
Lattice="9.841 0.000 0.000 0.000 9.841 0.000 0.000 0.000 2.605" Properties=species:S:1:pos:R:3 pbc="T T T"
Cr 2.695 8.180 0.000
Cr 7.146 1.661 0.000
Cr 1.661 2.695 0.000
Cr 8.180 7.146 0.000
Cr 7.616 3.260 1.303
Cr 2.225 6.581 1.303
Cr 6.581 7.616 1.303
Cr 3.260 2.225 1.303
Cu 5.265 3.212 0.000
Cu 4.576 6.630 0.000
Cu 6.630 5.265 0.000
Cu 3.212 4.576 0.000
Cu 0.345 8.132 1.303
Cu 9.496 1.709 1.303
Cu 1.709 0.345 1.303
Cu 8.132 9.496 1.303
```

Volume (A^3/atom): 15.770
Final energy (eV/f.u.): -12.1
Space group: I4/m

This record from Alexandria via LeMat-Bulk describes an optimized crystal structure of CrCu. The functional is PBE.

extended XYZ file:
```
4
Lattice="-1.200 1.465 1.642 0.402 -2.415 0.536 7.619 2.091 3.701" Properties=species:S:1:pos:R:3 pbc="T T T"
Cr 7.614 2.090 3.699
Cr 1.778 -0.597 1.832
Cu 3.816 1.047 1.854
Cu 5.576 0.445 3.677
```

Volume (A^3/atom): 11.862
Final energy (eV/f.u.): -13.2
Space group: P-3m1

This record from Alexandria via LeMat-Bulk describes an optimized crystal structure of Cr3Cu. The functional is PBE.

extended XYZ file:
```
4
Lattice="-0.804 2.295 -0.552 0.115 -1.743 -1.780 -8.269 -2.449 1.864" Properties=species:S:1:pos:R:3 pbc="T T T"
Cr -0.006 -0.002 0.001
Cr -4.128 -1.223 0.931
Cr -2.259 -1.009 -0.905
Cu -6.394 -2.234 0.028
```

Volume (A^3/atom): 11.882
Final energy (eV/f.u.): -31.5
Space group: P-6m2

This record from Alexandria via LeMat-Bulk describes an optimized crystal structure of CrCu5. The functional is PBE.

extended XYZ file:
```
6
Lattice="1.253 4.854 0.004 -1.253 4.854 0.004 0.000 1.615 5.983" Properties=species:S:1:pos:R:3 pbc="T T T"
Cr 0.000 11.315 5.986
Cu 0.000 6.397 1.689
Cu 0.000 3.789 1.993
Cu 0.000 10.151 3.674
Cu 0.000 7.557 3.967
Cu 0.000 4.196 5.654
```

Volume (A^3/atom): 12.121
Final energy (eV/f.u.): -29.1
Space group: Cm

This record from Alexandria via LeMat-Bulk describes an optimized crystal structure of CrCu3. The functional is PBE.

extended XYZ file:
```
4
Lattice="2.531 0.000 0.000 -1.265 2.192 0.000 0.000 0.000 8.584" Properties=species:S:1:pos:R:3 pbc="T T T"
Cr 0.000 0.000 0.000
Cu 0.000 0.000 4.292
Cu 0.000 1.461 2.154
Cu 0.000 1.461 6.430
```

Volume (A^3/atom): 11.906
Final energy (eV/f.u.): -21.1
Space group: P-6m2

This record from Alexandria via LeMat-Bulk describes an optimized crystal structure of Cr3Cu5. The functional is PBE.

extended XYZ file:
```
16
Lattice="7.402 0.002 0.000 -3.707 6.407 0.000 0.000 0.000 4.722" Properties=species:S:1:pos:R:3 pbc="T T T"
Cr 4.469 0.002 3.541
Cr -0.774 6.407 1.180
Cr 1.465 2.541 3.541
Cr 5.932 2.541 1.180
Cr 2.230 3.868 1.180
Cr -2.237 3.869 3.541
Cu 2.131 6.408 1.180
Cu 1.564 0.001 3.541
Cu 0.781 1.354 1.180
Cu -0.783 1.354 3.541
Cu 3.698 2.137 4.722
Cu 3.698 2.137 2.361
Cu -0.003 4.272 0.000
Cu -0.003 4.272 2.361
Cu 2.914 5.055 3.541
Cu 4.477 5.055 1.180
```

Volume (A^3/atom): 13.999
Final energy (eV/f.u.): -45.1
Space group: P6_3/mcm

This record from Alexandria via LeMat-Bulk describes an optimized crystal structure of Cr4Cu. The functional is PBE.

extended XYZ file:
```
5
Lattice="-2.219 -3.672 -1.829 2.736 0.225 -3.771 3.057 -2.867 2.047" Properties=species:S:1:pos:R:3 pbc="T T T"
Cr 0.000 0.000 0.000
Cr 0.419 -3.269 0.109
Cr 2.896 -1.321 -0.862
Cr 0.258 -1.723 -2.800
Cu 1.786 -3.157 -1.777
```

Energy above the lowest structure with this stoichiometry (eV/atom): 1.395
Volume (A^3/atom): 20.291
Final energy (eV/f.u.): -34.4
Space group: Pm-3m

This record from Alexandria via LeMat-Bulk describes an optimized crystal structure of CrCu. The functional is PBE.

extended XYZ file:
```
4
Lattice="-3.860 -1.646 0.314 0.438 -0.482 2.859 -3.162 2.497 2.409" Properties=species:S:1:pos:R:3 pbc="T T T"
Cr -3.096 2.333 2.371
Cr -2.284 0.639 3.465
Cu -1.726 -1.027 1.595
Cu -4.352 -0.143 2.146
```

Volume (A^3/atom): 12.128
Final energy (eV/f.u.): -13.1
Space group: Imma

This record from Alexandria via LeMat-Bulk describes an optimized crystal structure of CrCu. The functional is PBE.

extended XYZ file:
```
4
Lattice="2.505 0.000 0.000 -1.253 2.170 0.000 -1.253 0.723 8.727" Properties=species:S:1:pos:R:3 pbc="T T T"
Cr -1.253 2.170 0.002
Cr -1.253 2.170 6.543
Cu 0.000 1.446 4.351
Cu 1.253 0.723 2.194
```

Volume (A^3/atom): 11.860
Final energy (eV/f.u.): -13.2
Space group: R-3m

This record from Alexandria via LeMat-Bulk describes an optimized crystal structure of Cr5Cu4. The functional is PBE.

extended XYZ file:
```
18
Lattice="7.236 0.000 0.000 3.618 6.267 0.000 0.000 0.000 5.004" Properties=species:S:1:pos:R:3 pbc="T T T"
Cr 4.938 3.981 1.251
Cr 1.320 2.286 1.251
Cr 4.597 0.000 1.251
Cr 5.917 2.286 3.753
Cr 2.298 3.981 3.753
Cr 2.639 0.000 3.753
Cr 3.618 2.089 0.000
Cr 7.236 4.178 2.502
Cr 7.236 4.178 0.000
Cr 3.618 2.089 2.502
Cu 0.000 0.000 0.000
Cu 0.000 0.000 2.502
Cu 6.130 1.916 1.251
Cu 2.512 4.351 1.251
Cu 2.212 0.000 1.251
Cu 4.724 4.351 3.753
Cu 1.106 1.916 3.753
Cu 5.024 0.000 3.753
```

Energy above the lowest structure with this stoichiometry (eV/atom): 0.093
Volume (A^3/atom): 12.607
Final energy (eV/f.u.): -61.1
Space group: P6_3/mcm

This record from Alexandria via LeMat-Bulk describes an optimized crystal structure of CrCu. The functional is PBE.

extended XYZ file:
```
4
Lattice="2.393 0.000 0.000 1.196 4.178 0.010 0.000 -0.394 4.713" Properties=species:S:1:pos:R:3 pbc="T T T"
Cr 2.393 1.737 3.578
Cr 2.393 -0.338 4.675
Cu 2.393 3.967 2.322
Cu 1.196 2.003 1.227
```

Volume (A^3/atom): 11.780
Final energy (eV/f.u.): -13.1
Space group: C2/m

This record from Alexandria via LeMat-Bulk describes an optimized crystal structure of Cr3Cu4. The functional is PBE.

extended XYZ file:
```
7
Lattice="-1.493 1.493 9.666 1.493 -1.493 9.666 1.493 1.493 -9.666" Properties=species:S:1:pos:R:3 pbc="T T T"
Cr 0.000 0.000 0.000
Cr 0.000 0.000 13.943
Cr 0.000 0.000 5.390
Cu 0.000 0.000 16.576
Cu 0.000 0.000 11.115
Cu 0.000 0.000 8.217
Cu 0.000 0.000 2.756
```

Energy above the lowest structure with this stoichiometry (eV/atom): 0.000
Volume (A^3/atom): 12.320
Final energy (eV/f.u.): -43.3
Space group: I4/mmm